(1)
Density functional theory data (GGA-PBE) for a geometry-optimized Tb2PmGe2Pt7 structure.

```
data_Tb2PmGe2Pt7
_chemical_formula_sum 'Tb4 Pm2 Ge4 Pt14'
_space_group_name_H-M_alt 'C 1 2/m 1'
_space_group_IT_number 12
_cell_length_a 5.824
_cell_length_b 5.751
_cell_length_c 14.123
_cell_angle_alpha 90.00
_cell_angle_beta 99.27
_cell_angle_gamma 90.00
loop_
_space_group_symop_operation_xyz
'x,y,z'
'-x,-y,-z'
'-x,y,-z'
'x,-y,z'
'x+1/2,y+1/2,z'
'-x+1/2,-y+1/2,-z'
'-x+1/2,y+1/2,-z'
'x+1/2,-y+1/2,z'
loop_
_atom_site_label
_atom_site_type_symbol
_atom_site_fract_x
_atom_site_fract_y
_atom_site_fract_z
Tb1 Tb 0.123 0.000 0.359
Pm1 Pm 0.000 0.000 0.000
Ge1 Ge 0.102 0.500 0.260
Pt1 Pt 0.000 0.500 0.000
Pt2 Pt 0.136 0.500 0.433
Pt3 Pt 0.187 0.250 0.841
```

Summary:
ΔE_f ... -943 meV/atom
VASP energy ... -6.403 eV per atom
Crystal system ... monoclinic
DOS at the Fermi energy ... 5.29 states/eV/f.u.



(2)
Density functional theory data (GGA-PBE) for a geometry-optimized Pm2TcGe4Pt3 structure.

```
data_Pm2TcGe4Pt3
_chemical_formula_sum 'Pm2 Tc1 Ge4 Pt3'
_space_group_name_H-M_alt 'P -4 m 2'
_space_group_IT_number 115
_cell_length_a 4.302
_cell_length_b 4.302
_cell_length_c 10.307
_cell_angle_alpha 90.00
_cell_angle_beta 90.00
_cell_angle_gamma 90.00
loop_
_space_group_symop_operation_xyz
'x,y,z'
'y,-x,-z'
'-x,-y,z'
'-y,x,-z'
'-x,y,z'
'-y,-x,-z'
'x,-y,z'
'y,x,-z'
loop_
_atom_site_label
_atom_site_type_symbol
_atom_site_fract_x
_atom_site_fract_y
_atom_site_fract_z
Pm1 Pm 0.000 0.500 0.247
Tc1 Tc 0.000 0.000 0.500
Ge1 Ge 0.000 0.000 0.000
Ge2 Ge 0.000 0.500 0.627
Ge3 Ge 0.500 0.500 0.000
Pt1 Pt 0.000 0.500 0.869
Pt2 Pt 0.500 0.500 0.500
```

Summary:
ΔE_f ... -837 meV/atom
VASP energy ... -6.483 eV per atom
Crystal system ... tetragonal
DOS at the Fermi energy ... 5.98 states/eV/f.u.



(3)
Density functional theory data (GGA-PBE) for a geometry-optimized Pm8Ge3Te4Pt structure.

```
data_Pm8Ge3Te4Pt
_chemical_formula_sum 'Pm24 Ge9 Te12 Pt3'
_space_group_name_H-M_alt 'R -3 m'
_space_group_IT_number 166
_space_group_name_Hall '-R 3 2"'
_cell_length_a 8.6689
_cell_length_b 8.6689
_cell_length_c 21.8663
_cell_angle_alpha 90.00
_cell_angle_beta 90.00
_cell_angle_gamma 120.00
loop_
_atom_site_label
_atom_site_type_symbol
_atom_site_fract_x
_atom_site_fract_y
_atom_site_fract_z
Pm1 Pm 0.0000 0.0000 0.2421
Pm2 Pm 0.0006 0.5003 0.7594
Ge1 Ge 0.0000 0.5000 0.5000
Te1 Te 0.0000 0.0000 0.0000
Te2 Te 0.0000 0.5000 0.0000
Pt1 Pt 0.0000 0.0000 0.5000
```

Summary:
VASP energy ... -5.613 eV per atom
Energy relative to the elements, uncorrected ... -1.21 eV/atom
Crystal system ... trigonal
DOS at the Fermi energy ... 7.45 states/eV/f.u.



(4)
Density functional theory data (GGA-PBE) for a geometry-optimized Pm6Ge2Te3Pt structure.

```
data_Pm6Ge2Te3Pt
_chemical_formula_sum 'Pm12 Ge4 Te6 Pt2'
_space_group_name_H-M_alt 'C 1 2/m 1'
_space_group_IT_number 12
_cell_length_a 19.223
_cell_length_b 4.324
_cell_length_c 8.862
_cell_angle_alpha 90.00
_cell_angle_beta 105.32
_cell_angle_gamma 90.00
loop_
_space_group_symop_operation_xyz
'x,y,z'
'-x,-y,-z'
'-x,y,-z'
'x,-y,z'
'x+1/2,y+1/2,z'
'-x+1/2,-y+1/2,-z'
'-x+1/2,y+1/2,-z'
'x+1/2,-y+1/2,z'
loop_
_atom_site_label
_atom_site_type_symbol
_atom_site_fract_x
_atom_site_fract_y
_atom_site_fract_z
Pm1 Pm 0.006 0.000 0.234
Pm2 Pm 0.161 0.500 0.100
Pm3 Pm 0.173 0.500 0.569
Ge1 Ge 0.166 0.000 0.333
Te1 Te 0.000 0.500 0.500
Te2 Te 0.168 0.000 0.833
Pt1 Pt 0.000 0.500 0.000
```

Summary:
VASP energy ... -5.646 eV per atom
Energy relative to the elements, uncorrected ... -1.21 eV/atom
Crystal system ... monoclinic
DOS at the Fermi energy ... 6.92 states/eV/f.u.



(5)
Density functional theory data (GGA-PBE) for a geometry-optimized Pm2ThGe3Pt4 structure.

```
data_Pm2ThGe3Pt4
_chemical_formula_sum 'Pm2 Th1 Ge3 Pt4'
_space_group_name_H-M_alt 'P -4 m 2'
_space_group_IT_number 115
_cell_length_a 4.391
_cell_length_b 4.391
_cell_length_c 11.181
_cell_angle_alpha 90.00
_cell_angle_beta 90.00
_cell_angle_gamma 90.00
loop_
_space_group_symop_operation_xyz
'x,y,z'
'y,-x,-z'
'-x,-y,z'
'-y,x,-z'
'-x,y,z'
'-y,-x,-z'
'x,-y,z'
'y,x,-z'
loop_
_atom_site_label
_atom_site_type_symbol
_atom_site_fract_x
_atom_site_fract_y
_atom_site_fract_z
Pm1 Pm 0.000 0.500 0.213
Th1 Th 0.000 0.000 0.500
Ge1 Ge 0.000 0.500 0.881
Ge2 Ge 0.500 0.500 0.500
Pt1 Pt 0.000 0.000 0.000
Pt2 Pt 0.000 0.500 0.661
Pt3 Pt 0.500 0.500 0.000
```

Summary:
ΔE_f ... -918 meV/atom
VASP energy ... -6.412 eV per atom
Crystal system ... tetragonal
DOS at the Fermi energy ... 8.45 states/eV/f.u.



(6)
Density functional theory data (GGA-PBE) for a geometry-optimized PmThGePt structure.

```
data_PmThGePt
_chemical_formula_sum 'Pm4 Th4 Ge4 Pt4'
_space_group_name_H-M_alt 'F -4 3 m'
_space_group_IT_number 216
_space_group_name_Hall 'F -4 2 3'
_cell_length_a 7.294
_cell_length_b 7.294
_cell_length_c 7.294
_cell_angle_alpha 90.00
_cell_angle_beta 90.00
_cell_angle_gamma 90.00
loop_
_atom_site_label
_atom_site_type_symbol
_atom_site_fract_x
_atom_site_fract_y
_atom_site_fract_z
Pm1 Pm 0.000 0.000 0.000
Th1 Th 0.000 0.000 0.500
Ge1 Ge 0.250 0.250 0.250
Pt1 Pt 0.250 0.250 0.750
```

Summary:
ΔE_f ... -756 meV/atom
VASP energy ... -6.463 eV per atom
Crystal system ... cubic
DOS at the Fermi energy ... 4.43 states/eV/f.u.



(7)
Density functional theory data (GGA-PBE) for a geometry-optimized Pm2TiGe4Pt3 structure.

```
data_Pm2TiGe4Pt3
_chemical_formula_sum 'Pm2 Ti1 Ge4 Pt3'
_space_group_name_H-M_alt 'P -4 m 2'
_space_group_IT_number 115
_cell_length_a 4.236
_cell_length_b 4.236
_cell_length_c 10.828
_cell_angle_alpha 90.00
_cell_angle_beta 90.00
_cell_angle_gamma 90.00
loop_
_space_group_symop_operation_xyz
'x,y,z'
'y,-x,-z'
'-x,-y,z'
'-y,x,-z'
'-x,y,z'
'-y,-x,-z'
'x,-y,z'
'y,x,-z'
loop_
_atom_site_label
_atom_site_type_symbol
_atom_site_fract_x
_atom_site_fract_y
_atom_site_fract_z
Pm1 Pm 0.000 0.500 0.244
Ti1 Ti 0.000 0.000 0.500
Ge1 Ge 0.000 0.000 0.000
Ge2 Ge 0.000 0.500 0.640
Ge3 Ge 0.500 0.500 0.000
Pt1 Pt 0.000 0.500 0.872
Pt2 Pt 0.500 0.500 0.500
```

Summary:
ΔE_f ... -902 meV/atom
VASP energy ... -6.301 eV per atom
Crystal system ... tetragonal
DOS at the Fermi energy ... 4.55 states/eV/f.u.



(8)
Density functional theory data (GGA-PBE) for a geometry-optimized Pm2TiGe3Pt4 structure.

```
data_Pm2TiGe3Pt4
_chemical_formula_sum 'Pm2 Ti1 Ge3 Pt4'
_space_group_name_H-M_alt 'P -4 m 2'
_space_group_IT_number 115
_cell_length_a 4.249
_cell_length_b 4.249
_cell_length_c 10.682
_cell_angle_alpha 90.00
_cell_angle_beta 90.00
_cell_angle_gamma 90.00
loop_
_space_group_symop_operation_xyz
'x,y,z'
'y,-x,-z'
'-x,-y,z'
'-y,x,-z'
'-x,y,z'
'-y,-x,-z'
'x,-y,z'
'y,x,-z'
loop_
_atom_site_label
_atom_site_type_symbol
_atom_site_fract_x
_atom_site_fract_y
_atom_site_fract_z
Pm1 Pm 0.000 0.500 0.242
Ti1 Ti 0.000 0.000 0.500
Ge1 Ge 0.000 0.500 0.865
Ge2 Ge 0.500 0.500 0.500
Pt1 Pt 0.000 0.000 0.000
Pt2 Pt 0.000 0.500 0.636
Pt3 Pt 0.500 0.500 0.000
```

Summary:
ΔE_f ... -946 meV/atom
VASP energy ... -6.487 eV per atom
Crystal system ... tetragonal
DOS at the Fermi energy ... 9.93 states/eV/f.u.



(9)
Density functional theory data (GGA-PBE) for a geometry-optimized Pm2TlGe3Pt4 structure.

```
data_Pm2TlGe3Pt4
_chemical_formula_sum 'Pm2 Tl1 Ge3 Pt4'
_space_group_name_H-M_alt 'P -4 m 2'
_space_group_IT_number 115
_cell_length_a 4.313
_cell_length_b 4.313
_cell_length_c 10.921
_cell_angle_alpha 90.00
_cell_angle_beta 90.00
_cell_angle_gamma 90.00
loop_
_space_group_symop_operation_xyz
'x,y,z'
'y,-x,-z'
'-x,-y,z'
'-y,x,-z'
'-x,y,z'
'-y,-x,-z'
'x,-y,z'
'y,x,-z'
loop_
_atom_site_label
_atom_site_type_symbol
_atom_site_fract_x
_atom_site_fract_y
_atom_site_fract_z
Pm1 Pm 0.000 0.500 0.239
Tl1 Tl 0.000 0.000 0.500
Ge1 Ge 0.000 0.500 0.877
Ge2 Ge 0.500 0.500 0.500
Pt1 Pt 0.000 0.000 0.000
Pt2 Pt 0.000 0.500 0.657
Pt3 Pt 0.500 0.500 0.000
```

Summary:
ΔE_f ... -784 meV/atom
VASP energy ... -5.773 eV per atom
Crystal system ... tetragonal
DOS at the Fermi energy ... 5.04 states/eV/f.u.



(10)
Density functional theory data (GGA-PBE) for a geometry-optimized Pm2TmGe4Pt3 structure.

```
data_Pm2TmGe4Pt3
_chemical_formula_sum 'Pm2 Tm1 Ge4 Pt3'
_space_group_name_H-M_alt 'P -4 m 2'
_space_group_IT_number 115
_cell_length_a 4.279
_cell_length_b 4.279
_cell_length_c 11.286
_cell_angle_alpha 90.00
_cell_angle_beta 90.00
_cell_angle_gamma 90.00
loop_
_space_group_symop_operation_xyz
'x,y,z'
'y,-x,-z'
'-x,-y,z'
'-y,x,-z'
'-x,y,z'
'-y,-x,-z'
'x,-y,z'
'y,x,-z'
loop_
_atom_site_label
_atom_site_type_symbol
_atom_site_fract_x
_atom_site_fract_y
_atom_site_fract_z
Pm1 Pm 0.000 0.500 0.234
Tm1 Tm 0.000 0.000 0.500
Ge1 Ge 0.000 0.000 0.000
Ge2 Ge 0.000 0.500 0.660
Ge3 Ge 0.500 0.500 0.000
Pt1 Pt 0.000 0.500 0.880
Pt2 Pt 0.500 0.500 0.500
```

Summary:
ΔE_f ... -917 meV/atom
VASP energy ... -5.973 eV per atom
Crystal system ... tetragonal
DOS at the Fermi energy ... 3.72 states/eV/f.u.



(11)
Density functional theory data (GGA-PBE) for a geometry-optimized Pm2UGe3Pt4 structure.

```
data_Pm2UGe3Pt4
_chemical_formula_sum 'Pm2 U1 Ge3 Pt4'
_space_group_name_H-M_alt 'P -4 m 2'
_space_group_IT_number 115
_cell_length_a 4.326
_cell_length_b 4.326
_cell_length_c 11.095
_cell_angle_alpha 90.00
_cell_angle_beta 90.00
_cell_angle_gamma 90.00
loop_
_space_group_symop_operation_xyz
'x,y,z'
'y,-x,-z'
'-x,-y,z'
'-y,x,-z'
'-x,y,z'
'-y,-x,-z'
'x,-y,z'
'y,x,-z'
loop_
_atom_site_label
_atom_site_type_symbol
_atom_site_fract_x
_atom_site_fract_y
_atom_site_fract_z
Pm1 Pm 0.000 0.500 0.223
U1 U 0.000 0.000 0.500
Ge1 Ge 0.000 0.500 0.877
Ge2 Ge 0.500 0.500 0.500
Pt1 Pt 0.000 0.000 0.000
Pt2 Pt 0.000 0.500 0.656
Pt3 Pt 0.500 0.500 0.000
```

Summary:
ΔE_f ... -816 meV/atom
VASP energy ... -6.697 eV per atom
Crystal system ... tetragonal
DOS at the Fermi energy ... 12.42 states/eV/f.u.



(12)
Density functional theory data (GGA-PBE) for a geometry-optimized Pm2UGe4Pt3 structure.

```
data_Pm2UGe4Pt3
_chemical_formula_sum 'Pm2 U1 Ge4 Pt3'
_space_group_name_H-M_alt 'P -4 m 2'
_space_group_IT_number 115
_cell_length_a 4.284
_cell_length_b 4.284
_cell_length_c 11.518
_cell_angle_alpha 90.00
_cell_angle_beta 90.00
_cell_angle_gamma 90.00
loop_
_space_group_symop_operation_xyz
'x,y,z'
'y,-x,-z'
'-x,-y,z'
'-y,x,-z'
'-x,y,z'
'-y,-x,-z'
'x,-y,z'
'y,x,-z'
loop_
_atom_site_label
_atom_site_type_symbol
_atom_site_fract_x
_atom_site_fract_y
_atom_site_fract_z
Pm1 Pm 0.000 0.500 0.227
U1 U 0.000 0.000 0.500
Ge1 Ge 0.000 0.000 0.000
Ge2 Ge 0.000 0.500 0.667
Ge3 Ge 0.500 0.500 0.000
Pt1 Pt 0.000 0.500 0.882
Pt2 Pt 0.500 0.500 0.500
```

Summary:
ΔE_f ... -707 meV/atom
VASP energy ... -6.445 eV per atom
Crystal system ... tetragonal
DOS at the Fermi energy ... 10.66 states/eV/f.u.



Question: Among the records above, which one has the lowest DOS at the Fermi energy?
Answer: Pm2TmGe4Pt3



Question: Among the records above, which one has the highest DOS at the Fermi energy?
Answer: Pm2UGe3Pt4